(P)
DFT (GGA-PBE) results for an optimized crystal structure of FeNiCl2.

a b c (Å): 3.191 3.191 7.119
angles (deg): 90.00 90.00 90.00
Each line ends with the local moment (μB).
Fractional positions:
Ni 0.500 0.500 0.714  0.82
Fe 0.000 0.000 0.554  3.08
Cl 0.000 0.000 0.883  0.06
Cl 0.500 0.500 0.349  0.04

Computed properties:
Density: 4.247 Mg/m³
Space-group type: P4mm
V: 72.5 Å³/cell

(Q)
DFT (GGA-PBE) results for an optimized crystal structure of FeNiCl2.

a b c (Å): 6.817 6.817 3.935
angles (deg): 85.21 85.21 28.08
Each line ends with the local moment (μB).
Fractional positions:
Ni 0.750 0.750 0.750  0.61
Fe 0.250 0.250 0.250  3.19
Cl 0.880 0.880 0.046  0.09
Cl 0.620 0.620 0.454  0.09

Computed properties:
Density: 3.592 Mg/m³
Space-group type: C2/m
V: 85.7 Å³/cell

(R)
DFT (GGA-PBE) results for an optimized crystal structure of FeNiCl2.

a b c (Å): 7.487 7.487 7.487
angles (deg): 26.09 26.09 26.09
Each line ends with the local moment (μB).
Fractional positions:
Ni 0.500 0.500 0.500  0.95
Fe 0.000 0.000 0.000  2.88
Cl 0.899 0.899 0.899  0.09
Cl 0.101 0.101 0.101  0.09

Computed properties:
Density: 4.307 Mg/m³
Space-group type: R-3m
V: 71.5 Å³/cell

(S)
DFT (GGA-PBE) results for an optimized crystal structure of FeNiCl2.

a b c (Å): 4.511 4.511 4.511
angles (deg): 60.00 60.00 60.00
Each line ends with the local moment (μB).
Fractional positions:
Ni 0.750 0.750 0.750  0.81
Fe 0.500 0.500 0.500  3.24
Cl 0.000 0.000 0.000  0.07
Cl 0.250 0.250 0.250  0.06

Computed properties:
Density: 4.744 Mg/m³
Space-group type: F-43m
V: 64.9 Å³/cell

Preferred: (Q); penalty for the next structure: 0.148 eV/atom.

(P)
DFT (GGA-PBE) results for an optimized crystal structure of FeNiCl2.

a b c (Å): 7.141 7.141 7.141
angles (deg): 25.93 25.93 25.93
Each line ends with the local moment (μB).
Fractional positions:
Ni 0.750 0.750 0.750  0.72
Fe 0.250 0.250 0.250  3.05
Cl 0.000 0.000 0.000  0.10
Cl 0.500 0.500 0.500  0.10

Computed properties:
Density: 5.021 Mg/m³
Space-group type: R-3m
V: 61.3 Å³/cell

(Q)
DFT (GGA-PBE) results for an optimized crystal structure of FeNiCl2.

a b c (Å): 3.436 3.436 7.296
angles (deg): 90.00 90.00 126.69
Each line ends with the local moment (μB).
Fractional positions:
Ni 0.500 0.500 0.750  0.60
Fe 0.500 0.500 0.250  3.04
Cl 0.000 0.000 0.993  0.07
Cl 0.000 0.000 0.507  0.07

Computed properties:
Density: 4.459 Mg/m³
Space-group type: Cmmm
V: 69.1 Å³/cell

(R)
DFT (GGA-PBE) results for an optimized crystal structure of FeNiCl2.

a b c (Å): 5.303 5.303 6.473
angles (deg): 65.82 65.82 90.00
Each line ends with the local moment (μB).
Fractional positions:
Ni 0.000 0.000 0.000  0.74
Ni 0.750 0.250 0.500  0.75
Fe 0.500 0.500 0.000  2.96
Fe 0.250 0.750 0.500  2.97
Cl 0.632 0.125 0.250  0.09
Cl 0.118 0.625 0.250  0.09
Cl 0.375 0.368 0.750  0.09
Cl 0.875 0.882 0.750  0.10

Computed properties:
Density: 4.151 Mg/m³
Space-group type: I-42d
V: 148.4 Å³/cell

(S)
DFT (GGA-PBE) results for an optimized crystal structure of FeNiCl2.

a b c (Å): 4.382 4.382 4.382
angles (deg): 60.00 60.00 60.00
Each line ends with the local moment (μB).
Fractional positions:
Ni 0.500 0.500 0.500  0.70
Fe 0.000 0.000 0.000  3.10
Cl 0.250 0.250 0.250  0.11
Cl 0.750 0.750 0.750  0.11

Computed properties:
Density: 5.175 Mg/m³
Space-group type: Fm-3m
V: 59.5 Å³/cell

Preferred: (R); penalty for the next structure: 0.167 eV/atom.

(P)
DFT (GGA-PBE) results for an optimized crystal structure of FeNiCl2.

a b c (Å): 3.077 5.909 3.687
angles (deg): 90.00 90.00 90.00
Each line ends with the local moment (μB).
Fractional positions:
Ni 0.000 0.500 0.500  0.54
Fe 0.500 0.000 0.500  3.05
Cl 0.000 0.000 0.000  0.09
Cl 0.500 0.500 0.000  0.04

Computed properties:
Density: 4.594 Mg/m³
Space-group type: Pmmm
V: 67.0 Å³/cell

(Q)
DFT (GGA-PBE) results for an optimized crystal structure of FeNiCl2.

a b c (Å): 4.586 4.586 6.122
angles (deg): 86.79 86.79 42.63
Each line ends with the local moment (μB).
Fractional positions:
Ni 0.824 0.824 0.586  0.67
Fe 0.527 0.527 0.627  3.09
Cl 0.951 0.951 0.890  0.10
Cl 0.198 0.198 0.397  0.07

Computed properties:
Density: 3.538 Mg/m³
Space-group type: Cm
V: 87.0 Å³/cell

Preferred: (Q); penalty for the next structure: 0.355 eV/atom.